# LaZrTl2Pb

A geometry-optimized LaZrTl2Pb structure (PBE-GGA, Alexandria via LeMat-Bulk).

Properties
VASP energy = -0.24141 Ry per atom
Fermi-level density of states = 1.65 states/eV per atom
calculated volume = 202 Å³/f.u.

Unit cell a=5.8379 b=5.9154 c=5.8379 alpha=90.00 beta=90.00 gamma=90.00
Last column: nearest neighbours and their distance in Å.
Positions (direct):
Pb  0.0000  0.5000  0.0000  2 La 2.96
Tl  0.0000  0.0000  0.5000  2 La 2.92
Tl  0.5000  0.0000  0.0000  2 La 2.92
Zr  0.5000  0.5000  0.5000  4 Pb 4.13, 8 Tl 4.16
La  0.0000  0.0000  0.0000  4 Tl 2.92, 2 Pb 2.96